Material: PrTmSn2
Method: DFT, PBE
State: relaxed

Calculated total energy ... -33.94 eV per cell

Unit cell a=3.342 b=6.308 c=12.368 alpha=90.00 beta=90.00 gamma=90.00
Space group Amm2 (No. 38)
Asymmetric unit:
Pr 0.000 0.000 0.000 x2
Tm 0.000 0.000 0.722 x2
Sn 0.000 0.000 0.252 x2
Sn 0.000 0.000 0.481 x2



Material: PrTmSn
Method: DFT, PBE
State: relaxed

Calculated total energy ... -57.60 eV per cell

Unit cell a=7.363 b=7.363 c=7.363 alpha=90.00 beta=90.00 gamma=90.00
Space group F-43m (No. 216)
Asymmetric unit:
Pr 0.000 0.000 0.000 x4
Tm 0.000 0.000 0.500 x4
Sn 0.250 0.250 0.250 x4



Material: PrUSn
Method: DFT, PBE
State: relaxed

Calculated total energy ... -72.46 eV per cell

Unit cell a=7.386 b=7.386 c=7.386 alpha=90.00 beta=90.00 gamma=90.00
Space group F-43m (No. 216)
Asymmetric unit:
Pr 0.000 0.000 0.000 x4
U 0.250 0.250 0.250 x4
Sn 0.000 0.000 0.500 x4



Material: PrYSn2
Method: DFT, PBE
State: relaxed

Calculated total energy ... -38.15 eV per cell

Unit cell a=3.376 b=6.328 c=12.455 alpha=90.00 beta=90.00 gamma=90.00
Space group Amm2 (No. 38)
Asymmetric unit:
Pr 0.000 0.000 0.000 x2
Y 0.000 0.000 0.284 x2
Sn 0.000 0.000 0.525 x2
Sn 0.000 0.000 0.751 x2



Material: PrZnSn
Method: DFT, PBE
State: relaxed

Calculated total energy ... -45.73 eV per cell

Unit cell a=6.802 b=6.802 c=6.802 alpha=90.00 beta=90.00 gamma=90.00
Space group F-43m (No. 216)
Asymmetric unit:
Pr 0.000 0.000 0.000 x4
Zn 0.250 0.250 0.250 x4
Sn 0.000 0.000 0.500 x4



Material: PrZnSn
Method: DFT, PBE
State: relaxed

Calculated total energy ... -41.18 eV per cell

Unit cell a=7.196 b=7.196 c=7.196 alpha=90.00 beta=90.00 gamma=90.00
Space group F-43m (No. 216)
Asymmetric unit:
Pr 0.000 0.000 0.000 x4
Zn 0.250 0.250 0.250 x4
Sn 0.250 0.250 0.750 x4



Material: Pr2Zn5Sn
Method: DFT, PBE
State: relaxed

Calculated total energy ... -94.02 eV per cell

Unit cell a=4.481 b=16.616 c=9.092 alpha=90.00 beta=90.00 gamma=90.00
Space group Cmcm (No. 63)
Asymmetric unit:
Pr 0.000 0.000 0.000 x4
Pr 0.000 0.205 0.250 x4
Zn 0.000 0.186 0.609 x8
Zn 0.000 0.344 0.516 x8
Zn 0.000 0.396 0.250 x4
Sn 0.000 0.445 0.750 x4



Material: SrTbPr
Method: DFT, PBE
State: relaxed

Calculated total energy ... -34.58 eV per cell

Unit cell a=8.235 b=8.235 c=8.235 alpha=90.00 beta=90.00 gamma=90.00
Space group F-43m (No. 216)
Asymmetric unit:
Sr 0.000 0.000 0.000 x4
Tb 0.000 0.000 0.500 x4
Pr 0.250 0.250 0.250 x4